# 1
A plane-wave DFT calculation with GGA-PBEsol was carried out for an optimized crystal structure of CsTi3P5O19.

Summary:
Offset from the most stable computed form   0 kJ/mol of formula units
Density   2.998 g cm⁻³
Raw formation energy   -2556 meV/atom
Symmetry   No. 8
Magnetic moment   0.0000 μB per atom
Electronic total energy   -8.08 eV per atom

Cell lengths 6.3470, 8.5180, 8.5180 Å; angles 113.26, 98.57, 98.57 degrees
Atoms (fractional coordinates):
O: 0.9039 0.0132 0.8216
O: 0.7804 0.5169 0.7066
O: 0.2621 0.6630 0.4841
O: 0.9039 0.8216 0.0132
O: 0.5394 0.7704 0.7704
O: 0.7855 0.7564 0.2476
O: 0.4897 0.5234 0.2355
O: 0.1128 0.3226 0.9982
O: 0.1418 0.1669 0.6837
O: 0.8664 0.2506 0.4742
O: 0.7855 0.2476 0.7564
O: 0.1418 0.6837 0.1669
O: 0.8664 0.4742 0.2506
O: 0.4897 0.2355 0.5234
O: 0.7804 0.7066 0.5169
O: 0.1511 0.7732 0.7732
O: 0.2621 0.4841 0.6630
O: 0.1128 0.9982 0.3226
O: 0.1853 0.3156 0.3156
P: 0.7304 0.3181 0.6099
P: 0.7304 0.6099 0.3181
P: 0.3026 0.6695 0.6695
P: 0.9996 0.8145 0.1852
P: 0.9996 0.1852 0.8145
Ti: 0.1813 0.2429 0.4895
Ti: 0.8436 0.7666 0.7666
Ti: 0.1813 0.4895 0.2429
Cs: 0.5234 0.1003 0.1003



# 2
A plane-wave DFT calculation with GGA-PBEsol was carried out for an optimized crystal structure of BaSrAu.

Summary:
Offset from the most stable computed form   6 kJ/mol of formula units
Density   5.333 g cm⁻³
Calculated formation energy   -0.449 eV per atom
Symmetry   No. 156
Magnetic moment   0.0000 μB per atom
Electronic total energy   -3.09 eV per atom

Cell lengths 4.5779, 4.5779, 7.2386 Å; angles 90.00, 90.00, 120.00 degrees
Atoms (fractional coordinates):
Ba: 0.3333 0.6667 0.7595
Sr: 0.6667 0.3333 0.2312
Au: 0.0000 0.0000 0.0093



# 3
A plane-wave DFT calculation with GGA-PBEsol was carried out for an optimized crystal structure of InSiCl.

Summary:
Density   4.103 g cm⁻³
Raw formation energy   303 meV/atom
Symmetry   No. 216
Magnetic moment   0.0013 μB per atom
Electronic total energy   -3.28 eV per atom

Cell lengths 4.6734, 4.6734, 4.6734 Å; angles 60.00, 60.00, 60.00 degrees
Atoms (fractional coordinates):
In: 0.5000 0.5000 0.5000
Si: 0.2500 0.2500 0.2500
Cl: 0.0000 0.0000 0.0000



# 4
A plane-wave DFT calculation with GGA-PBEsol was carried out for an optimized crystal structure of MgSbCl2.

Summary:
Offset from the most stable computed form   0 kJ/mol of formula units
Density   3.789 g cm⁻³
Raw formation energy   -876 meV/atom
Symmetry   No. 8
Magnetic moment   0.0000 μB per atom
Electronic total energy   -3.45 eV per atom

Cell lengths 3.2771, 5.5449, 5.5987 Å; angles 101.66, 107.02, 90.00 degrees
Atoms (fractional coordinates):
Cl: 0.9860 0.9834 0.9719
Cl: 0.1830 0.6164 0.3660
Sb: 0.8213 0.2611 0.6425
Mg: 0.5098 0.6391 0.0195



# 5
A plane-wave DFT calculation with GGA-PBEsol was carried out for an optimized crystal structure of MnIn2Au.

Summary:
Offset from the most stable computed form   31 kJ/mol of formula units
Density   10.871 g cm⁻³
Calculated formation energy   0.178 eV per atom
Symmetry   No. 166
Magnetic moment   0.7996 μB per atom
Electronic total energy   -4.74 eV per atom

Cell lengths 3.0872, 3.0872, 9.0877 Å; angles 80.22, 80.22, 60.00 degrees
Atoms (fractional coordinates):
Au: 0.0000 0.0000 0.0000
In: 0.2470 0.2470 0.2591
In: 0.7530 0.7530 0.7409
Mn: 0.5000 0.5000 0.5000



# 6
A plane-wave DFT calculation with GGA-PBEsol was carried out for an optimized crystal structure of CaH12CO9.

Summary:
Density   1.952 g cm⁻³
Symmetry   No. 15
Magnetic moment   0.0000 μB per atom
Electronic total energy   -5.61 eV per atom

Cell lengths 5.9231, 5.9231, 10.7158 Å; angles 76.09, 76.09, 87.26 degrees
Atoms (fractional coordinates):
O: 0.2388 0.3332 0.1165
O: 0.5564 0.7917 0.6318
O: 0.6478 0.0992 0.0949
O: 0.1503 0.9061 0.3442
O: 0.7612 0.6668 0.8835
O: 0.2083 0.4436 0.8682
O: 0.9061 0.1503 0.8442
O: 0.7917 0.5564 0.1318
O: 0.6387 0.3613 0.7500
O: 0.6668 0.7612 0.3835
O: 0.4436 0.2083 0.3682
O: 0.3332 0.2388 0.6165
O: 0.3522 0.9008 0.9051
O: 0.8497 0.0939 0.6558
O: 0.3613 0.6387 0.2500
O: 0.0939 0.8497 0.1558
O: 0.0992 0.6478 0.5949
O: 0.9008 0.3522 0.4051
H: 0.8172 0.5039 0.4032
H: 0.5336 0.7231 0.3500
H: 0.6673 0.9079 0.6406
H: 0.6183 0.6348 0.6665
H: 0.1169 0.7311 0.5001
H: 0.7784 0.6056 0.9777
H: 0.8831 0.2689 0.4999
H: 0.5039 0.8172 0.9032
H: 0.0921 0.3327 0.8594
H: 0.4961 0.1828 0.0968
H: 0.2769 0.4664 0.1500
H: 0.7311 0.1169 0.0001
H: 0.2216 0.3944 0.0223
H: 0.7231 0.5336 0.8500
H: 0.3817 0.3652 0.3335
H: 0.3327 0.0921 0.3594
H: 0.4664 0.2769 0.6500
H: 0.3944 0.2216 0.5223
H: 0.6348 0.6183 0.1665
H: 0.3652 0.3817 0.8335
H: 0.9079 0.6673 0.1406
H: 0.6056 0.7784 0.4777
H: 0.2689 0.8831 0.9999
H: 0.1828 0.4961 0.5968
C: 0.2027 0.7973 0.2500
C: 0.7973 0.2027 0.7500
Ca: 0.1465 0.8535 0.7500
Ca: 0.8535 0.1465 0.2500